Compound: GdTm2Cd
Source: OQMD via LeMat-Bulk
Functional: PBE
Structure: optimized geometry Values from VASP.

Output
- energy above the lowest structure with this stoichiometry (kJ/mol of atoms) = 5.0
- formation energy from the elements (meV per atom) = -55
- space group = No. 38
- calculated total energy (eV per atom) = -3.680

```
&SYSTEM
  ibrav = 0, nat = 8, ntyp = 3
/
ATOMIC_SPECIES
Gd 157.25 Gd.upf
Tm 168.93 Tm.upf
Cd 112.41 Cd.upf
CELL_PARAMETERS angstrom
5.4476 0.0000 0.0000
0.0000 3.5844 5.7712
0.0000 -3.5844 5.7712
ATOMIC_POSITIONS crystal
Gd 0.0000 0.0000 0.0000
Gd 0.5000 0.3105 0.3105
Tm 0.0000 0.5007 0.5007
Tm 0.5000 0.3140 0.8157
Tm 0.5000 0.8125 0.8125
Tm 0.5000 0.8157 0.3140
Cd 0.0000 0.5026 0.9866
Cd 0.0000 0.9866 0.5026
```